Entry 1:
# LaUO5 PBE-GGA optimized geometry
# **ρ**: 6097 kg/m³
# **Total moment**: 0.0 μB per formula unit
# **Raw total energy**: -8.7810 eV/atom
# **Fermi-level density of states**: 14.634 states/eV per cell
# **Uncorrected formation energy**: -20.5 eV per formula unit
data_LaUO5
_chemical_formula_sum 'La2 U2 O10'
_cell_length_a 4.232
_cell_length_b 6.825
_cell_length_c 8.618
_cell_angle_alpha 90.00
_cell_angle_beta 90.00
_cell_angle_gamma 90.00
_space_group_name_H-M_alt 'I m m m'
_space_group_IT_number 71
_space_group_name_Hall '-I 2 2'
loop_
_atom_site_label
_atom_site_fract_x
_atom_site_fract_y
_atom_site_fract_z
_atom_site_occupancy
La1 0.000 0.000 0.000 1
U1 0.000 0.000 0.500 1
O1 0.000 0.000 0.271 1
O2 0.000 0.301 0.500 1
O3 0.000 0.500 0.000 1

=====

Entry 2:
# Sc2TeAs PBE-GGA optimized geometry
# **ρ**: 5264 kg/m³
# **Total moment**: 0.0 μB per formula unit
# **Raw total energy**: -6.3239 eV/atom
# **Fermi-level density of states**: 1.511 states/eV per cell
# **Uncorrected formation energy**: -4.8 eV per formula unit
data_Sc2TeAs
_chemical_formula_sum 'Sc2 Te1 As1'
_cell_length_a 4.026
_cell_length_b 4.026
_cell_length_c 5.692
_cell_angle_alpha 90.00
_cell_angle_beta 90.00
_cell_angle_gamma 90.00
_space_group_name_H-M_alt 'P 4/m m m'
_space_group_IT_number 123
_space_group_name_Hall '-P 4 2'
loop_
_atom_site_label
_atom_site_fract_x
_atom_site_fract_y
_atom_site_fract_z
_atom_site_occupancy
Sc1 0.000 0.000 0.000 1
Sc2 0.500 0.500 0.500 1
Te1 0.000 0.000 0.500 1
As1 0.500 0.500 0.000 1

=====

Entry 3:
# Rb3CeSm2S6 PBE-GGA optimized geometry
# **ρ**: 4190 kg/m³
# **Total moment**: 1.0 μB per formula unit
# **Raw total energy**: -5.3978 eV/atom
# **Fermi-level density of states**: 9.502 states/eV per cell
# **Uncorrected formation energy**: -21.7 eV per formula unit
data_Rb3CeSm2S6
_chemical_formula_sum 'Rb6 Ce2 Sm4 S12'
_cell_length_a 7.274
_cell_length_b 12.599
_cell_length_c 8.067
_cell_angle_alpha 90.00
_cell_angle_beta 107.49
_cell_angle_gamma 90.00
_space_group_name_H-M_alt 'C 1 2/m 1'
_space_group_IT_number 12
loop_
_space_group_symop_operation_xyz
'x,y,z'
'-x,-y,-z'
'-x,y,-z'
'x,-y,z'
'x+1/2,y+1/2,z'
'-x+1/2,-y+1/2,-z'
'-x+1/2,y+1/2,-z'
'x+1/2,-y+1/2,z'
loop_
_atom_site_label
_atom_site_fract_x
_atom_site_fract_y
_atom_site_fract_z
_atom_site_occupancy
Rb1 0.000 0.000 0.000 1
Rb2 0.000 0.333 0.000 1
Ce1 0.000 0.500 0.500 1
Sm1 0.000 0.167 0.500 1
S1 0.229 0.000 0.695 1
S2 0.233 0.332 0.695 1

=====

Entry 4:
# La2NiAu PBE-GGA optimized geometry
# **ρ**: 8961 kg/m³
# **Total moment**: 0.0 μB per formula unit
# **Calculated formation energy**: -0.4964 eV per atom
# **Raw total energy**: -5.2248 eV/atom
# **Fermi-level density of states**: 4.422 states/eV per cell
data_La2NiAu
_chemical_formula_sum 'La2 Ni1 Au1'
_cell_length_a 3.656
_cell_length_b 3.672
_cell_length_c 7.364
_cell_angle_alpha 90.00
_cell_angle_beta 90.08
_cell_angle_gamma 90.00
_space_group_name_H-M_alt 'P 1 2/m 1'
_space_group_IT_number 10
loop_
_space_group_symop_operation_xyz
'x,y,z'
'-x,-y,-z'
'-x,y,-z'
'x,-y,z'
loop_
_atom_site_label
_atom_site_fract_x
_atom_site_fract_y
_atom_site_fract_z
_atom_site_occupancy
La1 0.002 0.000 0.269 1
Ni1 0.500 0.500 0.500 1
Au1 0.500 0.500 0.000 1

=====

Entry 5:
# Zr2TaP2 PBE-GGA optimized geometry
# **ρ**: 8282 kg/m³
# **Total moment**: 0.0 μB per formula unit
# **Calculated formation energy**: -1.0468 eV per atom
# **Raw total energy**: -9.0006 eV/atom
# **Fermi-level density of states**: 6.285 states/eV per cell
data_Zr2TaP2
_chemical_formula_sum 'Zr4 Ta2 P4'
_cell_length_a 6.836
_cell_length_b 6.836
_cell_length_c 3.650
_cell_angle_alpha 90.00
_cell_angle_beta 90.00
_cell_angle_gamma 90.00
_space_group_name_H-M_alt 'P 4/m b m'
_space_group_IT_number 127
_space_group_name_Hall '-P 4 2ab'
loop_
_atom_site_label
_atom_site_fract_x
_atom_site_fract_y
_atom_site_fract_z
_atom_site_occupancy
Zr1 0.161 0.339 0.000 1
Ta1 0.000 0.000 0.500 1
P1 0.143 0.643 0.500 1

=====

Entry 6:
# SmTiPb2 PBE-GGA optimized geometry
# **ρ**: 10016 kg/m³
# **Total moment**: 0.0 μB per formula unit
# **Calculated formation energy**: -0.1077 eV per atom
# **Raw total energy**: -5.1154 eV/atom
# **Fermi-level density of states**: 3.858 states/eV per cell
data_SmTiPb2
_chemical_formula_sum 'Sm1 Ti1 Pb2'
_cell_length_a 3.863
_cell_length_b 3.863
_cell_length_c 6.806
_cell_angle_alpha 90.00
_cell_angle_beta 90.00
_cell_angle_gamma 90.00
_space_group_name_H-M_alt 'P 4/m m m'
_space_group_IT_number 123
_space_group_name_Hall '-P 4 2'
loop_
_atom_site_label
_atom_site_fract_x
_atom_site_fract_y
_atom_site_fract_z
_atom_site_occupancy
Sm1 0.000 0.000 0.000 1
Ti1 0.000 0.000 0.500 1
Pb1 0.500 0.500 0.279 1

=====

Entry 7:
# MnAl2Sb PBE-GGA optimized geometry
# **ρ**: 5024 kg/m³
# **Total moment**: 3.5 μB per formula unit
# **Raw total energy**: -4.8659 eV/atom
# **Fermi-level density of states**: 15.647 states/eV per cell
# **Uncorrected formation energy**: 1.3 eV per formula unit
data_MnAl2Sb
_chemical_formula_sum 'Mn4 Al8 Sb4'
_cell_length_a 6.731
_cell_length_b 6.731
_cell_length_c 6.731
_cell_angle_alpha 90.00
_cell_angle_beta 90.00
_cell_angle_gamma 90.00
_space_group_name_H-M_alt 'F -4 3 m'
_space_group_IT_number 216
_space_group_name_Hall 'F -4 2 3'
loop_
_atom_site_label
_atom_site_fract_x
_atom_site_fract_y
_atom_site_fract_z
_atom_site_occupancy
Mn1 0.000 0.000 0.000 1
Al1 0.000 0.000 0.500 1
Al2 0.250 0.250 0.750 1
Sb1 0.250 0.250 0.250 1

=====

Entry 8:
# LiCa8Hg2 PBE-GGA optimized geometry
# **ρ**: 3047 kg/m³
# **E above lowest polymorph**: 0.0 meV/atom
# **Total moment**: 0.0 μB per formula unit
# **Calculated formation energy**: -0.1770 eV per atom
# **Raw total energy**: -1.8616 eV/atom
# **Fermi-level density of states**: 21.992 states/eV per cell
data_LiCa8Hg2
_chemical_formula_sum 'Li2 Ca16 Hg4'
_cell_length_a 9.591
_cell_length_b 14.299
_cell_length_c 6.028
_cell_angle_alpha 90.00
_cell_angle_beta 106.08
_cell_angle_gamma 90.00
_space_group_name_H-M_alt 'C 1 2/m 1'
_space_group_IT_number 12
loop_
_space_group_symop_operation_xyz
'x,y,z'
'-x,-y,-z'
'-x,y,-z'
'x,-y,z'
'x+1/2,y+1/2,z'
'-x+1/2,-y+1/2,-z'
'-x+1/2,y+1/2,-z'
'x+1/2,-y+1/2,z'
loop_
_atom_site_label
_atom_site_fract_x
_atom_site_fract_y
_atom_site_fract_z
_atom_site_occupancy
Li1 0.000 0.000 0.000 1
Ca1 0.000 0.239 0.000 1
Ca2 0.118 0.500 0.806 1
Ca3 0.199 0.129 0.591 1
Hg1 0.000 0.315 0.500 1

=====

Fermi-level density of states of number 5 (Zr2TaP2)?
6.285 states/eV per cell